[1]
Here is a relaxed structure of TaTcIr from the Alexandria database. Energies are from PBE.

Output
Magnetization: 0.00 μB/f.u.
Mass density: 16.4 g/cm3
Crystal system: orthorhombic
Distance to the lowest polymorph of the same formula: 0.000 eV/atom
E: -32.1 eV per formula unit

Cell lengths 4.5407, 7.6649, 5.4708 Å; angles 90.00, 90.00, 90.00 degrees
Space group Cmcm (No. 63)
Inequivalent atoms, fractional coordinates:
Ta 0.0000 0.1788 0.2500 x4
Tc 0.0000 0.5000 0.0000 x4
Ir 0.0000 0.1615 0.7500 x4

[2]
Here is a relaxed structure of Ta5Tc4Ir from the Alexandria database. Energies are from PBE.

Output
Magnetization: 0.00 μB/f.u.
Mass density: 15.2 g/cm3
Crystal system: tetragonal
E: -114.3 eV per formula unit

Cell lengths 3.2027, 3.2027, 15.8365 Å; angles 90.00, 90.00, 90.00 degrees
Space group P4/mmm (No. 123)
Inequivalent atoms, fractional coordinates:
Ta 0.0000 0.0000 0.0000 x1
Ta 0.0000 0.0000 0.1994 x2
Ta 0.0000 0.0000 0.3978 x2
Tc 0.5000 0.5000 0.1003 x2
Tc 0.5000 0.5000 0.3015 x2
Ir 0.5000 0.5000 0.5000 x1

[3]
Here is a relaxed structure of TaTcIr from the Alexandria database. Energies are from PBE.

Output
Magnetization: 0.00 μB/f.u.
Mass density: 16.6 g/cm3
Crystal system: tetragonal
Distance to the lowest polymorph of the same formula: 0.060 eV/atom
E: -31.9 eV per formula unit

Cell lengths 2.7685, 2.7685, 12.3199 Å; angles 90.00, 90.00, 90.00 degrees
Space group I4mm (No. 107)
Inequivalent atoms, fractional coordinates:
Ta 0.0000 0.0000 0.0000 x2
Tc 0.0000 0.0000 0.3200 x2
Ir 0.0000 0.0000 0.6738 x2

[4]
Here is a relaxed structure of TaTlTc2Ir from the Alexandria database. Energies are from PBE.

Output
Magnetization: 1.32 μB/f.u.
Mass density: 11.5 g/cm3
Crystal system: tetragonal
E: -31.2 eV per formula unit

Cell lengths 4.8331, 4.8331, 4.7895 Å; angles 90.00, 90.00, 90.00 degrees
Space group P4/mmm (No. 123)
Inequivalent atoms, fractional coordinates:
Ta 0.0000 0.0000 0.0000 x1
Tl 0.5000 0.5000 0.5000 x1
Tc 0.0000 0.5000 0.5000 x2
Ir 0.5000 0.5000 0.0000 x1

[5]
Here is a relaxed structure of Ta2TlTcIr from the Alexandria database. Energies are from PBE.

Output
Magnetization: 1.66 μB/f.u.
Mass density: 11.8 g/cm3
Crystal system: tetragonal
E: -32.1 eV per formula unit

Cell lengths 4.9969, 4.9969, 4.8213 Å; angles 90.00, 90.00, 90.00 degrees
Space group P4/mmm (No. 123)
Inequivalent atoms, fractional coordinates:
Ta 0.0000 0.5000 0.0000 x2
Tl 0.0000 0.0000 0.0000 x1
Tc 0.5000 0.5000 0.5000 x1
Ir 0.0000 0.0000 0.5000 x1

[6]
Here is a relaxed structure of TaVTcIr from the Alexandria database. Energies are from PBE.

Output
Magnetization: 1.55 μB/f.u.
Mass density: 14.2 g/cm3
Crystal system: cubic
E: -41.5 eV per formula unit

Cell lengths 6.2544, 6.2544, 6.2544 Å; angles 90.00, 90.00, 90.00 degrees
Space group F-43m (No. 216)
Inequivalent atoms, fractional coordinates:
Ta 0.0000 0.0000 0.0000 x4
V 0.0000 0.0000 0.5000 x4
Tc 0.2500 0.2500 0.7500 x4
Ir 0.2500 0.2500 0.2500 x4

[7]
Here is a relaxed structure of TaTcIrW2 from the Alexandria database. Energies are from PBE.

Output
Magnetization: 1.95 μB/f.u.
Mass density: 13.2 g/cm3
Crystal system: tetragonal
E: -45.5 eV per formula unit

Cell lengths 4.7451, 4.7451, 4.6863 Å; angles 90.00, 90.00, 90.00 degrees
Space group P4/mmm (No. 123)
Inequivalent atoms, fractional coordinates:
Ta 0.0000 0.0000 0.0000 x1
Tc 0.5000 0.5000 0.5000 x1
Ir 0.0000 0.0000 0.5000 x1
W 0.0000 0.5000 0.0000 x2

[8]
Here is a relaxed structure of Ta2TeIr from the Alexandria database. Energies are from PBE.

Output
Magnetization: 0.00 μB/f.u.
Mass density: 15.4 g/cm3
Crystal system: monoclinic
E: -35.7 eV per formula unit
Uncorrected formation energy: 0.003 eV per atom

Cell lengths 9.6356, 3.2429, 4.9012 Å; angles 90.00, 106.78, 90.00 degrees
Space group Cm (No. 8)
Inequivalent atoms, fractional coordinates:
Ta 0.0000 0.0000 0.0000 x2
Ta 0.2181 0.0000 0.6433 x2
Te 0.2464 0.5000 0.1646 x2
Ir 0.4908 0.0000 0.5113 x2

[9]
Here is a relaxed structure of Ta2Te6Ir from the Alexandria database. Energies are from PBE.

Output
Magnetization: 0.00 μB/f.u.
Mass density: 8.8 g/cm3
Crystal system: monoclinic
E: -54.0 eV per formula unit
Uncorrected formation energy: -0.287 eV per atom

Cell lengths 15.4834, 3.6382, 9.1446 Å; angles 90.00, 105.44, 90.00 degrees
Space group C2/m (No. 12)
Inequivalent atoms, fractional coordinates:
Ta 0.1850 0.0000 0.3807 x4
Te 0.0008 0.0000 0.7883 x4
Te 0.1303 0.5000 0.5716 x4
Te 0.1769 0.5000 0.1333 x4
Ir 0.0000 0.5000 0.0000 x2

[10]
Here is a relaxed structure of TaTe2Ir from the Alexandria database. Energies are from PBE.

Output
Magnetization: 0.00 μB/f.u.
Mass density: 13.5 g/cm3
Crystal system: tetragonal
Distance to the lowest polymorph of the same formula: 0.466 eV/atom
E: -25.8 eV per formula unit
Uncorrected formation energy: 0.301 eV per atom

Cell lengths 4.6838, 4.6838, 3.5195 Å; angles 90.00, 90.00, 90.00 degrees
Space group P4/mmm (No. 123)
Inequivalent atoms, fractional coordinates:
Ta 0.0000 0.0000 0.0000 x1
Te 0.0000 0.5000 0.5000 x2
Ir 0.5000 0.5000 0.0000 x1

[11]
Here is a relaxed structure of TaTeIr2 from the Alexandria database. Energies are from PBE.

Output
Magnetization: 0.00 μB/f.u.
Mass density: 16.8 g/cm3
Crystal system: tetragonal
E: -32.4 eV per formula unit
Uncorrected formation energy: 0.087 eV per atom

Cell lengths 4.0915, 4.0915, 8.1662 Å; angles 90.00, 90.00, 90.00 degrees
Space group I4/mmm (No. 139)
Inequivalent atoms, fractional coordinates:
Ta 0.0000 0.0000 0.0000 x2
Te 0.0000 0.0000 0.5000 x2
Ir 0.0000 0.5000 0.2500 x4

[12]
Here is a relaxed structure of Ta2TeIr from the Alexandria database. Energies are from PBE.

Output
Magnetization: 0.00 μB/f.u.
Mass density: 15.8 g/cm3
Crystal system: tetragonal
E: -35.8 eV per formula unit
Uncorrected formation energy: -0.018 eV per atom

Cell lengths 3.1107, 3.1107, 7.4114 Å; angles 90.00, 90.00, 90.00 degrees
Space group P4/mmm (No. 123)
Inequivalent atoms, fractional coordinates:
Ta 0.0000 0.0000 0.2394 x2
Te 0.5000 0.5000 0.5000 x1
Ir 0.5000 0.5000 0.0000 x1

[13]
Here is a relaxed structure of TaTe2Ir from the Alexandria database. Energies are from PBE.

Output
Magnetization: 0.00 μB/f.u.
Mass density: 11.0 g/cm3
Crystal system: tetragonal
Distance to the lowest polymorph of the same formula: 0.154 eV/atom
E: -27.0 eV per formula unit
Uncorrected formation energy: -0.011 eV per atom

Cell lengths 3.1177, 3.1177, 9.7338 Å; angles 90.00, 90.00, 90.00 degrees
Space group P4mm (No. 99)
Inequivalent atoms, fractional coordinates:
Ta 0.0000 0.0000 0.0000 x1
Te 0.0000 0.0000 0.6082 x1
Te 0.5000 0.5000 0.2122 x1
Ir 0.5000 0.5000 0.8402 x1

[14]
Here is a relaxed structure of TaTe2Ir from the Alexandria database. Energies are from PBE.

Output
Magnetization: 0.00 μB/f.u.
Mass density: 13.4 g/cm3
Crystal system: tetragonal
Distance to the lowest polymorph of the same formula: 0.503 eV/atom
E: -25.6 eV per formula unit
Uncorrected formation energy: 0.338 eV per atom

Cell lengths 3.4418, 3.4418, 6.5674 Å; angles 90.00, 90.00, 90.00 degrees
Space group P4/mmm (No. 123)
Inequivalent atoms, fractional coordinates:
Ta 0.0000 0.0000 0.0000 x1
Te 0.5000 0.5000 0.2505 x2
Ir 0.0000 0.0000 0.5000 x1

[15]
Here is a relaxed structure of TaTe2Ir from the Alexandria database. Energies are from PBE.

Output
Magnetization: 0.00 μB/f.u.
Mass density: 9.6 g/cm3
Crystal system: monoclinic
Distance to the lowest polymorph of the same formula: 0.000 eV/atom
E: -27.7 eV per formula unit
Uncorrected formation energy: -0.165 eV per atom

Cell lengths 4.0522, 3.9536, 6.7892 Å; angles 90.00, 93.67, 90.00 degrees
Space group Pm (No. 6)
Inequivalent atoms, fractional coordinates:
Ta 0.0000 0.0000 0.0000 x1
Te 0.0824 0.5000 0.7183 x1
Te 0.5032 0.0000 0.2847 x1
Ir 0.5843 0.5000 0.0054 x1

[16]
Here is a relaxed structure of TaTe2Ir from the Alexandria database. Energies are from PBE.

Output
Magnetization: 0.00 μB/f.u.
Mass density: 13.3 g/cm3
Crystal system: cubic
Distance to the lowest polymorph of the same formula: 0.542 eV/atom
E: -25.5 eV per formula unit
Uncorrected formation energy: 0.378 eV per atom

Cell lengths 6.7962, 6.7962, 6.7962 Å; angles 90.00, 90.00, 90.00 degrees
Space group Fm-3m (No. 225)
Inequivalent atoms, fractional coordinates:
Ta 0.0000 0.0000 0.0000 x4
Te 0.2500 0.2500 0.2500 x8
Ir 0.0000 0.0000 0.5000 x4

[17]
Here is a relaxed structure of TaTeIr2 from the Alexandria database. Energies are from PBE.

Output
Magnetization: 0.00 μB/f.u.
Mass density: 15.1 g/cm3
Crystal system: trigonal
E: -32.4 eV per formula unit
Uncorrected formation energy: 0.068 eV per atom

Cell lengths 3.2512, 3.2512, 24.9159 Å; angles 90.00, 90.00, 120.00 degrees
Space group R-3m (No. 166, hexagonal axes)
Inequivalent atoms, fractional coordinates:
Ta 0.0000 0.0000 0.0000 x3
Te 0.0000 0.0000 0.5000 x3
Ir 0.0000 0.0000 0.2600 x6

[18]
Here is a relaxed structure of Ta2TeIr from the Alexandria database. Energies are from PBE.

Output
Magnetization: 0.00 μB/f.u.
Mass density: 15.7 g/cm3
Crystal system: tetragonal
E: -35.3 eV per formula unit
Uncorrected formation energy: 0.112 eV per atom

Cell lengths 4.8319, 4.8319, 3.0904 Å; angles 90.00, 90.00, 90.00 degrees
Space group P4/mmm (No. 123)
Inequivalent atoms, fractional coordinates:
Ta 0.0000 0.5000 0.0000 x2
Te 0.0000 0.0000 0.5000 x1
Ir 0.5000 0.5000 0.5000 x1

[19]
Here is a relaxed structure of Ta2TeIr from the Alexandria database. Energies are from PBE.

Output
Magnetization: 0.00 μB/f.u.
Mass density: 15.6 g/cm3
Crystal system: orthorhombic
E: -35.2 eV per formula unit
Uncorrected formation energy: 0.119 eV per atom

Cell lengths 5.9984, 7.4450, 3.2404 Å; angles 90.00, 90.00, 90.00 degrees
Space group Cmmm (No. 65)
Inequivalent atoms, fractional coordinates:
Ta 0.2500 0.2500 0.0000 x4
Te 0.0000 0.0000 0.5000 x2
Ir 0.0000 0.5000 0.5000 x2

[20]
Here is a relaxed structure of Ta2TeIr from the Alexandria database. Energies are from PBE.

Output
Magnetization: 0.00 μB/f.u.
Mass density: 16.0 g/cm3
Crystal system: tetragonal
E: -35.5 eV per formula unit
Uncorrected formation energy: 0.062 eV per atom

Cell lengths 3.9948, 3.9948, 8.8874 Å; angles 90.00, 90.00, 90.00 degrees
Space group I4/mmm (No. 139)
Inequivalent atoms, fractional coordinates:
Ta 0.0000 0.5000 0.2500 x4
Te 0.0000 0.0000 0.0000 x2
Ir 0.0000 0.0000 0.5000 x2